# LiTb2Tc (PBE, relaxed)
data_LiTb2Tc
_chemical_formula_sum 'Li1 Tb2 Tc1'
_cell_length_a 3.4773
_cell_length_b 3.4773
_cell_length_c 7.9209
_cell_angle_alpha 90.00
_cell_angle_beta 90.00
_cell_angle_gamma 90.00
_symmetry_space_group_name_H-M 'P 4/m m m'
_symmetry_Int_Tables_number 123
_symmetry_space_group_name_Hall '-P 4 2'
loop_
_atom_site_label
_atom_site_type_symbol
_atom_site_fract_x
_atom_site_fract_y
_atom_site_fract_z
Li1 Li 0.0000 0.0000 0.0000
Tb1 Tb 0.5000 0.5000 0.2944
Tc1 Tc 0.0000 0.0000 0.5000
# **Calculated volume**: 95.8 Å³/cell
# **Formation enthalpy at 0 K**: -27 meV/atom

# Sr2Tl2Bi3 (PBE, relaxed)
data_Sr2Tl2Bi3
_chemical_formula_sum 'Sr2 Tl2 Bi3'
_cell_length_a 4.7664
_cell_length_b 6.4218
_cell_length_c 9.0322
_cell_angle_alpha 105.30
_cell_angle_beta 93.71
_cell_angle_gamma 111.29
_symmetry_space_group_name_H-M 'P -1'
_symmetry_Int_Tables_number 2
loop_
_symmetry_equiv_pos_as_xyz
'x,y,z'
'-x,-y,-z'
loop_
_atom_site_label
_atom_site_type_symbol
_atom_site_fract_x
_atom_site_fract_y
_atom_site_fract_z
Sr1 Sr 0.2477 0.4361 0.1820
Tl1 Tl 0.3208 0.7812 0.5687
Bi1 Bi 0.0282 0.1252 0.7646
Bi2 Bi 0.5000 0.0000 0.0000
# **Calculated volume**: 244.5 Å³/cell
# **Formation enthalpy at 0 K**: -453 meV/atom

# Ni2HgSb (PBE, relaxed)
data_Ni2HgSb
_chemical_formula_sum 'Ni2 Hg1 Sb1'
_cell_length_a 3.4317
_cell_length_b 4.0601
_cell_length_c 5.1168
_cell_angle_alpha 90.00
_cell_angle_beta 109.14
_cell_angle_gamma 90.00
_symmetry_space_group_name_H-M 'P 1 m 1'
_symmetry_Int_Tables_number 6
loop_
_symmetry_equiv_pos_as_xyz
'x,y,z'
'x,-y,z'
loop_
_atom_site_label
_atom_site_type_symbol
_atom_site_fract_x
_atom_site_fract_y
_atom_site_fract_z
Ni1 Ni 0.0000 0.0000 0.0000
Ni2 Ni 0.1590 0.5000 0.3163
Hg1 Hg 0.4357 0.5000 0.8695
Sb1 Sb 0.7160 0.0000 0.4343
# **Calculated volume**: 67.4 Å³/cell
# **Raw total energy**: -3.93 eV per atom

Please write out number 1 again, unchanged.
# LiTb2Tc (PBE, relaxed)
data_LiTb2Tc
_chemical_formula_sum 'Li1 Tb2 Tc1'
_cell_length_a 3.4773
_cell_length_b 3.4773
_cell_length_c 7.9209
_cell_angle_alpha 90.00
_cell_angle_beta 90.00
_cell_angle_gamma 90.00
_symmetry_space_group_name_H-M 'P 4/m m m'
_symmetry_Int_Tables_number 123
_symmetry_space_group_name_Hall '-P 4 2'
loop_
_atom_site_label
_atom_site_type_symbol
_atom_site_fract_x
_atom_site_fract_y
_atom_site_fract_z
Li1 Li 0.0000 0.0000 0.0000
Tb1 Tb 0.5000 0.5000 0.2944
Tc1 Tc 0.0000 0.0000 0.5000
# **Calculated volume**: 95.8 Å³/cell
# **Formation enthalpy at 0 K**: -27 meV/atom